Here is a relaxed Nd2Sb3Rh4Pb crystal from the Alexandria database. Energies are from PBE.

- E_tot (eV/atom) = -6.199
- size of the total moment (Bohr magnetons per cell) = 0.00
- crystal system = tetragonal
- D(E_F) (states/eV/cell) = 7.92
- density (g cm⁻³) = 9.6

The structure in CIF format:
```
data_Nd2Sb3Rh4Pb
_cell_length_a 4.5054
_cell_length_b 4.5054
_cell_length_c 10.8530
_cell_angle_alpha 90.00
_cell_angle_beta 90.00
_cell_angle_gamma 90.00
_symmetry_space_group_name_H-M 'P -4 m 2'
_symmetry_Int_Tables_number 115
loop_
_symmetry_equiv_pos_as_xyz
'x,y,z'
'y,-x,-z'
'-x,-y,z'
'-y,x,-z'
'-x,y,z'
'-y,-x,-z'
'x,-y,z'
'y,x,-z'
loop_
_atom_site_label
_atom_site_type_symbol
_atom_site_fract_x
_atom_site_fract_y
_atom_site_fract_z
_atom_site_occupancy
Nd1 Nd 0.0000 0.5000 0.2422 1
Sb1 Sb 0.0000 0.5000 0.8711 1
Sb2 Sb 0.5000 0.5000 0.5000 1
Rh1 Rh 0.0000 0.0000 0.0000 1
Rh2 Rh 0.0000 0.5000 0.6370 1
Rh3 Rh 0.5000 0.5000 0.0000 1
Pb1 Pb 0.0000 0.0000 0.5000 1
```

***

Here is a relaxed TbNdRhPb crystal from the Alexandria database. Energies are from PBE.

- E_tot (eV/atom) = -5.580
- size of the total moment (Bohr magnetons per cell) = 0.00
- crystal system = cubic
- D(E_F) (states/eV/cell) = 13.37
- formation energy from the elements (eV per atom) = -0.465
- density (g cm⁻³) = 10.0

The structure in CIF format:
```
data_TbNdRhPb
_cell_length_a 7.4175
_cell_length_b 7.4175
_cell_length_c 7.4175
_cell_angle_alpha 90.00
_cell_angle_beta 90.00
_cell_angle_gamma 90.00
_symmetry_space_group_name_H-M 'F -4 3 m'
_symmetry_Int_Tables_number 216
_symmetry_space_group_name_Hall 'F -4 2 3'
loop_
_atom_site_label
_atom_site_type_symbol
_atom_site_fract_x
_atom_site_fract_y
_atom_site_fract_z
_atom_site_occupancy
Tb1 Tb 0.0000 0.0000 0.0000 1
Nd1 Nd 0.0000 0.0000 0.5000 1
Rh1 Rh 0.2500 0.2500 0.2500 1
Pb1 Pb 0.2500 0.2500 0.7500 1
```

***

Here is a relaxed NdTmRhPb crystal from the Alexandria database. Energies are from PBE.

- E_tot (eV/atom) = -5.543
- size of the total moment (Bohr magnetons per cell) = 0.00
- crystal system = cubic
- D(E_F) (states/eV/cell) = 13.77
- formation energy from the elements (eV per atom) = -0.468
- density (g cm⁻³) = 10.4

The structure in CIF format:
```
data_NdTmRhPb
_cell_length_a 7.3590
_cell_length_b 7.3590
_cell_length_c 7.3590
_cell_angle_alpha 90.00
_cell_angle_beta 90.00
_cell_angle_gamma 90.00
_symmetry_space_group_name_H-M 'F -4 3 m'
_symmetry_Int_Tables_number 216
_symmetry_space_group_name_Hall 'F -4 2 3'
loop_
_atom_site_label
_atom_site_type_symbol
_atom_site_fract_x
_atom_site_fract_y
_atom_site_fract_z
_atom_site_occupancy
Nd1 Nd 0.0000 0.0000 0.0000 1
Tm1 Tm 0.0000 0.0000 0.5000 1
Rh1 Rh 0.2500 0.2500 0.2500 1
Pb1 Pb 0.2500 0.2500 0.7500 1
```

***

- What is the D(E_F) in the second record?
  13.37 states/eV/cell